Entry 1:
DFT (PBE) results for KHgRh2 after structural relaxation.

Cell lengths 4.811, 4.811, 4.811 Å; angles 60.00, 60.00, 60.00 degrees
Element x y z (fractional)
K: 0.000 0.000 0.000
Hg: 0.750 0.750 0.750
Rh: 0.250 0.250 0.250
Rh: 0.500 0.500 0.500

Summary:
Magnetic moment: 1.0 μB/f.u.
Final energy: -3.368 eV per atom
Energy of formation from the pure elements: 2.6 eV per formula unit
Density: 9.40 g/cm3
Space group: F-43m (216)

Entry 2:
DFT (PBE) results for ScMn3 after structural relaxation.

Cell lengths 5.094, 8.324, 5.087 Å; angles 90.00, 90.00, 90.00 degrees
Element x y z (fractional)
Sc: 0.010 0.250 0.132
Sc: 0.490 0.750 0.632
Sc: 0.510 0.250 0.368
Sc: 0.990 0.750 0.868
Mn: 0.058 0.750 0.353
Mn: 0.188 0.031 0.628
Mn: 0.188 0.469 0.628
Mn: 0.312 0.531 0.128
Mn: 0.312 0.969 0.128
Mn: 0.442 0.250 0.853
Mn: 0.558 0.750 0.147
Mn: 0.688 0.031 0.872
Mn: 0.688 0.469 0.872
Mn: 0.812 0.531 0.372
Mn: 0.812 0.969 0.372
Mn: 0.942 0.250 0.647

Summary:
Magnetic moment: 0.7 μB/f.u.
Final energy: -8.265 eV per atom
Energy of formation from the pure elements: 0.8 eV per formula unit
Density: 6.46 g/cm3
Space group: Pnma (62)

Entry 3:
DFT (PBE) results for Ag2GeBi2 after structural relaxation.

Cell lengths 7.429, 7.429, 7.429 Å; angles 144.70, 144.70, 50.78 degrees
Element x y z (fractional)
Ag: 0.098 0.098 0.000
Ag: 0.902 0.902 0.000
Ge: 0.500 0.500 0.000
Bi: 0.250 0.750 0.500
Bi: 0.750 0.250 0.500

Summary:
Magnetic moment: 0.0 μB/f.u.
Final energy: -3.178 eV per atom
Energy of formation from the pure elements: 2.2 eV per formula unit
Density: 8.61 g/cm3
Relative energy among the computed polymorphs: 164 meV/atom
Space group: I4/mmm (139)

Entry 4:
DFT (PBE) results for Ca3Hg4Au2 after structural relaxation.

Cell lengths 6.245, 6.245, 9.368 Å; angles 116.86, 116.86, 45.05 degrees
Element x y z (fractional)
Ca: 0.000 0.000 0.000
Ca: 0.318 0.318 0.358
Ca: 0.682 0.682 0.642
Hg: 0.030 0.030 0.366
Hg: 0.284 0.284 0.943
Hg: 0.716 0.716 0.057
Hg: 0.970 0.970 0.634
Au: 0.402 0.402 0.737
Au: 0.598 0.598 0.263

Summary:
Magnetic moment: 0.0 μB/f.u.
Final energy: -2.067 eV per atom
Energy of formation from the pure elements: -4.8 eV per formula unit
Density: 9.69 g/cm3
Relative energy among the computed polymorphs: 0 meV/atom
Space group: C2/m (12)

Question: Number 2 is which compound?
Answer: ScMn3

Question: Number 2 is which compound?
Answer: ScMn3

Question: What is the energy of formation from the pure elements in the first record?
Answer: 2.6 eV per formula unit

Question: Number 3 is which compound?
Answer: Ag2GeBi2